Entry from Alexandria: a relaxed CdSnPbBr2 crystal (PBE-GGA).

Summary:
The crystal system is tetragonal. The energy relative to the elements, uncorrected is 12 meV per atom. The value obtained for the excess energy over the best structure of this formula in the dataset is 0.00 eV/f.u. As for the density of states at the Fermi level: 3.17 states/eV/f.u. Its space group is P4/mmm, No. 123. As for the magnetization: 0.00 μB per formula unit.

Cell lengths 5.368, 5.905, 5.368 Å; angles 90.00, 90.00, 90.00 degrees
Element x y z (fractional)
Pb1 0.500 0.500 0.500
Br1 0.500 0.000 0.000
Br2 0.000 0.000 0.500
Sn1 0.000 0.500 0.000
Cd1 0.000 0.000 0.000

Entry from Alexandria: a relaxed Y4AsBr5 crystal (PBE-GGA).

Summary:
The crystal system is monoclinic. The energy relative to the elements, uncorrected is -1558 meV per atom. As for the density of states at the Fermi level: 3.39 states/eV/f.u. Its space group is C2/m, No. 12. As for the magnetization: 0.00 μB per formula unit.

Cell lengths 4.045, 8.347, 9.259 Å; angles 102.37, 102.62, 90.00 degrees
Element x y z (fractional)
Br1 0.827 0.165 0.655
Br2 0.167 0.333 0.333
Br3 0.173 0.835 0.345
Br4 0.833 0.667 0.667
Br5 0.500 0.500 0.000
Y1 0.348 0.920 0.695
Y2 0.000 0.223 0.001
Y3 0.000 0.777 0.999
Y4 0.652 0.080 0.305
As1 0.500 0.000 0.000

Entry from Alexandria: a relaxed SrGeP2Br crystal (PBE-GGA).

Summary:
The crystal system is tetragonal. The energy relative to the elements, uncorrected is 1150 meV per atom. As for the density of states at the Fermi level: 4.35 states/eV/f.u. Its space group is P4/mmm, No. 123. As for the magnetization: 0.73 μB per formula unit.

Cell lengths 5.536, 6.579, 5.536 Å; angles 90.00, 90.00, 90.00 degrees
Last column: magnetic moment on the atom in μB.
Element x y z (fractional)
Sr1 0.000 0.000 0.000  -0.04
Ge1 0.000 0.500 0.000  -0.46
P1 0.500 0.000 0.000  0.28
P2 0.000 0.000 0.500  0.40
Br1 0.500 0.500 0.500  0.16

Entry from Alexandria: a relaxed MgPdSe crystal (PBE-GGA).

Summary:
The crystal system is triclinic. The energy relative to the elements, uncorrected is -662 meV per atom. As for the density of states at the Fermi level: 0.38 states/eV/f.u. Its space group is P1, No. 1. As for the magnetization: 0.00 μB per formula unit.

Cell lengths 5.667, 3.819, 5.667 Å; angles 90.01, 84.68, 90.03 degrees
Element x y z (fractional)
Mg1 0.414 0.729 0.084
Mg2 0.959 0.728 0.541
Pd1 0.649 0.227 0.774
Pd2 0.878 0.726 0.004
Se1 0.453 0.726 0.577
Se2 0.083 0.227 0.208

Entry from Alexandria: a relaxed CeHoMn2 crystal (PBE-GGA).

Summary:
The crystal system is tetragonal. The calculation puts the formation energy at 0.18 eV/atom. As for the density of states at the Fermi level: 5.19 states/eV/f.u. Its space group is P4/mmm, No. 123. As for the magnetization: 4.31 μB per formula unit.

Cell lengths 3.475, 3.475, 6.786 Å; angles 90.00, 90.00, 90.00 degrees
Last column: magnetic moment on the atom in μB.
Element x y z (fractional)
Mn1 0.000 0.000 0.212  2.77
Mn2 0.000 0.000 0.788  2.77
Ho1 0.500 0.500 0.500  -0.34
Ce1 0.500 0.500 0.000  -0.74

Entry from Alexandria: a relaxed NdInNi crystal (PBE-GGA).

Summary:
The crystal system is hexagonal. The calculation puts the formation energy at -0.34 eV/atom. As for the density of states at the Fermi level: 2.05 states/eV/f.u. Its space group is P-6m2, No. 187. As for the magnetization: 0.00 μB per formula unit.

Cell lengths 3.828, 4.570, 4.570 Å; angles 120.00, 90.00, 90.00 degrees
Element x y z (fractional)
In1 0.167 0.333 0.667
Nd1 0.667 0.667 0.333
Ni1 0.167 0.000 0.000

Entry from Alexandria: a relaxed BeZnTc2 crystal (PBE-GGA).

Summary:
The crystal system is trigonal. The value obtained for the excess energy over the best structure of this formula in the dataset is 0.87 eV/f.u. The calculation puts the formation energy at 0.18 eV/atom. As for the density of states at the Fermi level: 4.90 states/eV/f.u. Its space group is R-3m, No. 166. As for the magnetization: 0.00 μB per formula unit.

Cell lengths 8.592, 8.592, 8.592 Å; angles 18.10, 18.10, 18.10 degrees
Element x y z (fractional)
Tc1 0.494 0.494 0.494
Tc2 0.006 0.006 0.006
Zn1 0.250 0.250 0.250
Be1 0.750 0.750 0.750

Entry from Alexandria: a relaxed CaLa2GaNi crystal (PBE-GGA).

Summary:
The crystal system is tetragonal. The calculation puts the formation energy at -0.20 eV/atom. As for the density of states at the Fermi level: 5.20 states/eV/f.u. Its space group is P4/mmm, No. 123. As for the magnetization: 0.00 μB per formula unit.

Cell lengths 5.522, 5.522, 4.758 Å; angles 90.00, 90.00, 90.00 degrees
Element x y z (fractional)
Ga1 0.000 0.000 0.500
La1 0.000 0.500 0.000
La2 0.500 0.000 0.000
Ni1 0.000 0.000 0.000
Ca1 0.500 0.500 0.500

Entry from Alexandria: a relaxed YPS2Cl crystal (PBE-GGA).

Summary:
The crystal system is tetragonal. The energy relative to the elements, uncorrected is 128 meV per atom. The value obtained for the excess energy over the best structure of this formula in the dataset is 3.29 eV/f.u. As for the density of states at the Fermi level: 3.73 states/eV/f.u. Its space group is P4/mmm, No. 123. As for the magnetization: 0.00 μB per formula unit.

Cell lengths 4.790, 4.790, 4.474 Å; angles 90.00, 90.00, 90.00 degrees
Element x y z (fractional)
S1 0.000 0.500 0.000
S2 0.500 0.000 0.000
Y1 0.500 0.500 0.500
Cl1 0.000 0.000 0.000
P1 0.000 0.000 0.500

Entry from Alexandria: a relaxed La6TeN4 crystal (PBE-GGA).

Summary:
The crystal system is orthorhombic. The energy relative to the elements, uncorrected is -1254 meV per atom. As for the density of states at the Fermi level: 4.79 states/eV/f.u. Its space group is Cmcm, No. 63. As for the magnetization: 0.40 μB per formula unit.

Cell lengths 3.896, 6.603, 19.937 Å; angles 90.00, 90.00, 107.16 degrees
Last column: magnetic moment on the atom in μB.
Element x y z (fractional)
Te1 0.333 0.666 0.750  0.00
Te2 0.667 0.334 0.250  0.00
La1 0.630 0.260 0.750  0.08
La2 0.041 0.082 0.357  0.03
La3 0.778 0.556 0.076  0.00
La4 0.778 0.556 0.424  0.00
La5 0.222 0.444 0.924  0.00
La6 0.041 0.082 0.143  0.03
La7 0.959 0.918 0.643  0.03
La8 0.500 0.000 0.500  0.00
La9 0.500 0.000 0.000  0.00
La10 0.959 0.918 0.857  0.03
La11 0.370 0.740 0.250  0.08
La12 0.222 0.444 0.576  0.00
N1 0.144 0.288 0.462  0.01
N2 0.580 0.159 0.623  0.00
N3 0.144 0.288 0.038  0.01
N4 0.580 0.159 0.877  0.00
N5 0.420 0.841 0.123  0.00
N6 0.856 0.712 0.962  0.01
N7 0.420 0.841 0.377  0.00
N8 0.856 0.712 0.538  0.01

Entry from Alexandria: a relaxed RbPuH2Cl8 crystal (PBE-GGA).

Summary:
The crystal system is triclinic. As for the final energy: -51.500 eV per formula unit. As for the density of states at the Fermi level: 11.43 states/eV/f.u. Its space group is P-1, No. 2. As for the magnetization: 3.00 μB per formula unit.

Cell lengths 7.052, 6.905, 9.308 Å; angles 110.32, 81.09, 103.98 degrees
Last column: magnetic moment on the atom in μB.
Element x y z (fractional)
Cl1 0.076 0.749 0.736  -0.09
Cl2 0.126 0.790 0.125  -0.10
Cl3 0.874 0.210 0.875  -0.10
Cl4 0.924 0.251 0.264  -0.09
Cl5 0.661 0.775 0.012  -0.10
Cl6 0.339 0.225 0.988  -0.10
Cl7 0.457 0.294 0.622  0.00
Cl8 0.543 0.706 0.378  0.00
Rb1 0.000 0.000 0.500  0.00
H1 0.584 0.722 0.240  0.00
H2 0.416 0.278 0.760  0.00
Pu1 0.000 0.000 0.000  3.70

Entry from Alexandria: a relaxed Pr3NpTl4S8 crystal (PBE-GGA).

Summary:
The crystal system is trigonal. The energy relative to the elements, uncorrected is -1329 meV per atom. As for the density of states at the Fermi level: 5.78 states/eV/f.u. Its space group is R-3m, No. 166. As for the magnetization: 4.00 μB per formula unit.

Cell lengths 8.370, 8.915, 8.370 Å; angles 118.01, 120.00, 90.00 degrees
Last column: magnetic moment on the atom in μB.
Element x y z (fractional)
Pr1 0.500 0.500 0.500  0.03
Pr2 0.000 0.500 0.500  0.03
Pr3 0.500 0.500 0.000  0.03
S1 0.742 0.702 0.972  -0.03
S2 0.770 0.298 0.540  -0.03
S3 0.230 0.702 0.972  -0.03
S4 0.736 0.707 0.471  0.00
S5 0.264 0.293 0.529  0.00
S6 0.258 0.298 0.028  -0.03
S7 0.230 0.702 0.460  -0.03
S8 0.770 0.298 0.028  -0.03
Np1 0.000 0.500 0.000  3.77
Tl1 0.500 0.000 0.000  -0.01
Tl2 0.500 0.000 0.500  0.00
Tl3 0.000 0.000 0.500  0.00
Tl4 0.000 0.000 0.000  0.00